First-principles (PBE) data for crystalline Ni6PtS8 at its relaxed geometry, as listed in the Alexandria database.

a b c (Å): 6.1850 6.1850 6.1850
angles (deg): 94.04 94.04 94.04
With the nearest neighbours (Å) after each atom.
Fractional positions:
S 0.7169 0.3683 0.1543  4 Ni 2.24-2.32
Ni 0.4510 0.8156 0.5978  5 S 2.24-2.32
S 0.2831 0.6317 0.8457  4 Ni 2.24-2.32
Ni 0.5490 0.1844 0.4022  5 S 2.24-2.32
S 0.8457 0.2831 0.6317  4 Ni 2.24-2.32
S 0.6317 0.8457 0.2831  4 Ni 2.24-2.32
Ni 0.4022 0.5490 0.1844  5 S 2.24-2.32
Ni 0.1844 0.4022 0.5490  5 S 2.24-2.32
Ni 0.5978 0.4510 0.8156  5 S 2.24-2.32
S 0.2275 0.2275 0.2275  3 Ni 2.24, 1 Pt 2.26
S 0.7725 0.7725 0.7725  3 Ni 2.24, 1 Pt 2.26
S 0.3683 0.1543 0.7169  4 Ni 2.24-2.32
S 0.1543 0.7169 0.3683  4 Ni 2.24-2.32
Ni 0.8156 0.5978 0.4510  5 S 2.24-2.32
Pt 0.0000 0.0000 0.0000  2 S 2.26

Results
Final energy   -5.144 eV/atom
D(E_F)   12.61 states/eV per cell
Crystal system   trigonal